[1]
This record from Alexandria describes a relaxed structure of Pu11Sn9Ir4. The functional is GGA-PBE.

Results
The value obtained for the formation enthalpy at 0 K is -0.450 eV per atom. As for the symmetry: Cmmm, No. 65.

Cell lengths 12.612, 12.612, 3.921 Å; angles 90.00, 90.00, 111.62 degrees
Fractional positions:
Pu 0.000 0.000 0.000
Pu 0.066 0.415 0.000
Pu 0.155 0.845 0.000
Pu 0.310 0.310 0.000
Pu 0.373 0.627 0.000
Pu 0.415 0.066 0.000
Pu 0.585 0.934 0.000
Pu 0.627 0.373 0.000
Pu 0.690 0.690 0.000
Pu 0.845 0.155 0.000
Pu 0.934 0.585 0.000
Sn 0.074 0.219 0.500
Sn 0.159 0.632 0.500
Sn 0.219 0.074 0.500
Sn 0.368 0.841 0.500
Sn 0.500 0.500 0.500
Sn 0.632 0.159 0.500
Sn 0.781 0.926 0.500
Sn 0.841 0.368 0.500
Sn 0.926 0.781 0.500
Ir 0.242 0.443 0.500
Ir 0.443 0.242 0.500
Ir 0.557 0.758 0.500
Ir 0.758 0.557 0.500



[2]
This record from Alexandria describes a relaxed structure of PuSn2Ir. The functional is GGA-PBE.

Results
The value obtained for the formation enthalpy at 0 K is 0.159 eV per atom. As for the symmetry: R-3m, No. 166.

Cell lengths 3.214, 3.214, 31.556 Å; angles 90.00, 90.00, 120.00 degrees
Fractional positions:
Pu 0.000 0.000 0.000
Pu 0.333 0.667 0.667
Pu 0.667 0.333 0.333
Sn 0.000 0.000 0.101
Sn 0.000 0.000 0.899
Sn 0.333 0.667 0.566
Sn 0.333 0.667 0.768
Sn 0.667 0.333 0.232
Sn 0.667 0.333 0.434
Ir 0.000 0.000 0.500
Ir 0.333 0.667 0.167
Ir 0.667 0.333 0.833